# 1
The following is a DFT calculation (PBE) of crystalline Ce2NiSn8 at its relaxed geometry.

Cell lengths 4.6875, 4.6875, 12.5151 Å; angles 90.00, 90.00, 90.00 degrees
Last column: nearest neighbours and their distance in Å.
Space group P4/mmm (No. 123)
Symmetry-distinct sites (fractional):
Ce1 0.0000 0.0000 0.1879 x2  12 Sn 3.31-3.36
Ni1 0.0000 0.0000 0.5000 x1  8 Sn 2.79
Sn1 0.0000 0.5000 0.0000 x2  8 Sn 3.31-3.33, 4 Ce 3.32
Sn2 0.0000 0.5000 0.3798 x4  2 Ni 2.79, 1 Sn 3.01
Sn3 0.5000 0.5000 0.1888 x2  4 Ce 3.31, 8 Sn 3.33-3.35

Properties
For the density of states at the Fermi level, the calculation gives 12.287 states/eV/cell. The value obtained for the density is 7.78 g/cm3. For the formation energy, the calculation gives -0.382 eV per atom.

***

# 2
The following is a DFT calculation (PBE) of crystalline Sm3PuSe6 at its relaxed geometry.

Cell lengths 6.9256, 7.7096, 12.7513 Å; angles 90.00, 122.74, 90.00 degrees
Last column: nearest neighbours and their distance in Å.
Space group P2_1/c (No. 14)
Symmetry-distinct sites (fractional):
Sm1 0.0000 0.0000 0.0000 x2  6 Se 2.85-2.95
Sm2 0.2019 0.1054 0.7503 x4  6 Se 2.94-3.12
Pu1 0.5000 0.0000 0.5000 x2  6 Se 2.82-2.93
Se1 0.0869 0.1819 0.4153 x4  1 Pu 2.82, 3 Sm 2.87-3.09
Se2 0.2483 0.6826 0.4157 x4  3 Sm 2.85-3.12, 1 Pu 2.86
Se3 0.4112 0.0621 0.2509 x4  1 Pu 2.93, 3 Sm 2.94-2.98

Properties
The calculation puts the energy relative to the lowest polymorph listed for this composition at 50 meV/atom. For the density of states at the Fermi level, the calculation gives 22.923 states/eV/cell. The value obtained for the density is 6.78 g/cm3. The value obtained for the formation energy (no corrections) is -1.70 eV per atom.

***

# 3
The following is a DFT calculation (PBE) of crystalline TlBi2Pd9 at its relaxed geometry.

Cell lengths 4.1226, 4.1226, 12.3220 Å; angles 90.00, 90.00, 90.00 degrees
Last column: nearest neighbours and their distance in Å.
Space group P4/mmm (No. 123)
Symmetry-distinct sites (fractional):
Tl1 0.0000 0.0000 0.0000 x1  12 Pd 2.90-2.92
Bi1 0.0000 0.0000 0.3278 x2  12 Pd 2.88-2.96
Pd1 0.0000 0.5000 0.1652 x4  2 Bi 2.88, 2 Tl 2.90, 8 Pd 2.90-2.94
Pd2 0.0000 0.5000 0.5000 x2  8 Pd 2.90-2.92, 4 Bi 2.96
Pd3 0.5000 0.5000 0.0000 x1  8 Pd 2.90, 4 Tl 2.92
Pd4 0.5000 0.5000 0.3349 x2  8 Pd 2.90-2.94, 4 Bi 2.92

Properties
For the density of states at the Fermi level, the calculation gives 3.602 states/eV/cell. The value obtained for the density is 12.53 g/cm3. For the formation energy, the calculation gives -0.251 eV per atom.

***

# 4
The following is a DFT calculation (PBE) of crystalline RbSeCl3 at its relaxed geometry.

Cell lengths 5.2625, 5.2625, 5.2625 Å; angles 90.00, 90.00, 90.00 degrees
Last column: nearest neighbours and their distance in Å.
Space group Pm-3m (No. 221)
Symmetry-distinct sites (fractional):
Rb1 0.0000 0.0000 0.0000 x1  12 Cl 3.72
Se1 0.5000 0.5000 0.5000 x1  6 Cl 2.63
Cl1 0.0000 0.5000 0.5000 x3  2 Se 2.63

Properties
For the density of states at the Fermi level, the calculation gives 1.044 states/eV/cell. The value obtained for the density is 3.09 g/cm3. The value obtained for the formation energy (no corrections) is -0.87 eV per atom.

***

# 5
The following is a DFT calculation (PBE) of crystalline LiTe at its relaxed geometry.

Cell lengths 8.2924, 8.2924, 8.2924 Å; angles 90.00, 90.00, 90.00 degrees
Last column: nearest neighbours and their distance in Å.
Space group I-43m (No. 217)
Symmetry-distinct sites (fractional):
Li1 0.1310 0.1310 0.1310 x8  4 Te 2.59-2.73
Te1 0.1884 0.1884 0.8116 x8  4 Li 2.59-2.73

Properties
The calculation puts the energy relative to the lowest polymorph listed for this composition at 468 meV/atom. For the density of states at the Fermi level, the calculation gives 19.027 states/eV/cell. The value obtained for the density is 3.13 g/cm3. The value obtained for the formation energy (no corrections) is -0.25 eV per atom.

***

# 6
The following is a DFT calculation (PBE) of crystalline Al3CoSn at its relaxed geometry.

Cell lengths 4.5638, 4.5638, 4.5638 Å; angles 90.00, 90.00, 90.00 degrees
Last column: nearest neighbours and their distance in Å.
Space group Pm-3m (No. 221)
Symmetry-distinct sites (fractional):
Al1 0.0000 0.0000 0.5000 x3  2 Co 2.28
Co1 0.0000 0.0000 0.0000 x1  6 Al 2.28
Sn1 0.5000 0.5000 0.5000 x1  12 Al 3.23

Properties
The calculation puts the energy relative to the lowest polymorph listed for this composition at 0 meV/atom. For the density of states at the Fermi level, the calculation gives 2.182 states/eV/cell. The value obtained for the density is 4.52 g/cm3. For the formation energy, the calculation gives 0.020 eV per atom.

***

# 7
The following is a DFT calculation (PBE) of crystalline HfHgB at its relaxed geometry.

Cell lengths 3.2082, 3.2082, 32.3273 Å; angles 90.00, 90.00, 120.00 degrees
Last column: nearest neighbours and their distance in Å.
Space group R3m (No. 160, hexagonal axes)
Symmetry-distinct sites (fractional):
Hf1 0.0000 0.0000 0.0000 x3  6 B 2.49
Hf2 0.0000 0.0000 0.1030 x3  6 B 2.49
Hg1 0.0000 0.0000 0.2579 x3  3 Hf 3.06, 9 Hg 3.17-3.21
Hg2 0.0000 0.0000 0.5115 x3  3 Hf 3.05, 9 Hg 3.17-3.21
B1 0.0000 0.0000 0.3848 x3  3 B 1.85
B2 0.0000 0.0000 0.7182 x3  3 B 1.85

Properties
For the density of states at the Fermi level, the calculation gives 9.572 states/eV/cell. The value obtained for the density is 13.48 g/cm3. For the formation energy, the calculation gives -0.534 eV per atom.

***

# 8
The following is a DFT calculation (PBE) of crystalline CsPu2PbSe4 at its relaxed geometry.

Cell lengths 4.3581, 14.9552, 16.5509 Å; angles 90.00, 90.00, 90.00 degrees
Last column: nearest neighbours and their distance in Å.
Space group Cmcm (No. 63)
Symmetry-distinct sites (fractional):
Cs1 0.0000 0.1212 0.2500 x4  2 Se 3.41, 2 Pb 3.78
Pu1 0.0000 0.3713 0.0494 x8  5 Se 2.88-3.02
Pb1 0.0000 0.1722 0.7500 x4  4 Se 2.81-2.94
Se1 0.0000 0.0000 0.0000 x4  4 Pu 3.02
Se2 0.0000 0.2552 0.5893 x8  3 Pu 2.88-2.96, 1 Pb 2.94
Se3 0.0000 0.4459 0.2500 x4  2 Pb 2.81

Properties
For the density of states at the Fermi level, the calculation gives 98.646 states/eV/cell. The value obtained for the density is 7.04 g/cm3. The value obtained for the formation energy (no corrections) is -1.09 eV per atom.

***

Energy values (in eV for the cell shown) by entry order: -53.88; -132.75; -59.87; -14.32; -44.51; -22.24; -111.21; -223.42.